1.
NbHgOsO6: relaxed, PBE.

```
NbHgOsO6
1.0
-3.6384 3.7499 5.2525
3.6384 -3.7499 5.2525
3.6384 3.7499 -5.2525
Nb Hg Os O
2 2 2 12
Direct
0.0000 0.0000 0.0000 Nb
0.5000 0.0000 0.5000 Nb
0.3396 0.5896 0.7500 Hg
0.6604 0.4104 0.2500 Hg
0.0000 0.0000 0.5000 Os
0.0000 0.5000 0.0000 Os
0.0542 0.3201 0.1179 O
0.0542 0.9364 0.7341 O
0.0590 0.3090 0.7500 O
0.2977 0.0636 0.6179 O
0.2977 0.6799 0.2341 O
0.3078 0.0578 0.2500 O
0.6922 0.9422 0.7500 O
0.7023 0.3201 0.7659 O
0.7023 0.9364 0.3821 O
0.9410 0.6910 0.2500 O
0.9458 0.0636 0.2659 O
0.9458 0.6799 0.8821 O
```

Values from the calculation:
E_tot in eV/atom: -7.0647
Space-group type: Imma, No. 74



2.
NbHgP2O: relaxed, PBE.

```
NbHgP2O
1.0
5.0050 0.0000 0.0000
0.0000 5.0050 0.0000
0.0000 0.0000 3.9062
Nb Hg P O
1 1 2 1
Direct
0.0000 0.0000 0.0000 Nb
0.5000 0.5000 0.5000 Hg
0.0000 0.5000 0.0000 P
0.5000 0.0000 0.0000 P
0.0000 0.0000 0.5000 O
```

Values from the calculation:
Energy above the most stable polymorph in this dataset in meV per atom: 0
Space-group type: P4/mmm, No. 123



3.
NbHgP2O8: relaxed, PBE.

```
NbHgP2O8
1.0
4.4657 -2.6601 0.0000
4.4657 2.6601 0.0000
-1.1319 0.0000 8.5548
Nb Hg P O
1 1 2 8
Direct
0.0000 0.0000 0.0000 Nb
0.0000 0.0000 0.5000 Hg
0.3178 0.3178 0.7978 P
0.6822 0.6822 0.2022 P
0.1824 0.6522 0.8480 O
0.1879 0.1879 0.9034 O
0.2621 0.2621 0.6254 O
0.3478 0.8176 0.1520 O
0.6522 0.1824 0.8480 O
0.7379 0.7379 0.3746 O
0.8121 0.8121 0.0966 O
0.8176 0.3478 0.1520 O
```

Values from the calculation:
E_tot in eV/atom: -7.0685
Space-group type: C2/m, No. 12



4.
NbHgPO6: relaxed, PBE.

```
NbHgPO6
1.0
5.0707 0.0000 0.0000
-2.5354 4.3914 0.0000
0.0000 0.0000 4.9475
Nb Hg P O
1 1 1 6
Direct
0.0000 0.0000 0.0000 Nb
0.6667 0.3333 0.5000 Hg
0.3333 0.6667 0.0000 P
0.0665 0.3738 0.1999 O
0.0665 0.6927 0.8001 O
0.3073 0.3738 0.8001 O
0.3073 0.9335 0.1999 O
0.6262 0.6927 0.1999 O
0.6262 0.9335 0.8001 O
```

Values from the calculation:
E_tot in eV/atom: -6.7619
Space-group type: P312, No. 149